A relaxed KPtAu2 crystal. Source: the Alexandria database, functional PBE-GGA.

a = 2.947 Å, b = 2.947 Å, c = 9.349 Å
α = 90.00°, β = 90.00°, γ = 90.00°
Element x y z (fractional)
K 0.000 0.000 0.000
Pt 0.500 0.500 0.271
Au 0.000 0.000 0.481
Au 0.500 0.500 0.706

Output
* SG: P4mm, No. 99
* formation energy from the elements: 0.114 eV/atom
* total energy: -3.309 eV per atom
* N(E_F): 1.402 states/eV per cell
* size of the total moment: 0.0 Bohr magnetons per cell